Tc2NiB2 | GGA-PBEsol | relaxed

Cell: 5.435 5.435 3.274 Å, 90.00 90.00 90.00°
Space group P4/mbm (No. 127)
One atom of each set of equivalent atoms:
Tc 0.179 0.321 0.000 x4
Ni 0.000 0.000 0.500 x2
B 0.117 0.617 0.500 x4

## Properties
ρ	9.5	g/cm³
calculated total energy	-89.50	eV per cell
energy relative to the elements	-0.406	eV/atom

***

Ta3C2 | GGA-PBEsol | relaxed

Cell: 3.1186 3.1186 7.5062 Å, 90.00 90.00 120.00°
Space group P-3m1 (No. 164)
One atom of each set of equivalent atoms:
Ta 0.0000 0.0000 0.0000 x1
Ta 0.3333 0.6667 0.3315 x2
C 0.3333 0.6667 0.8253 x2

## Properties
ρ	14.9	g/cm³
calculated total energy	-59.90	eV per cell
energy relative to the elements	-0.593	eV/atom
relative energy among the computed polymorphs	0.081	eV per atom

***

NiBiRh3 | GGA-PBEsol | relaxed

Cell: 4.449 4.449 4.449 Å, 90.00 90.00 90.00°
Space group Pm-3m (No. 221)
One atom of each set of equivalent atoms:
Ni 0.000 0.000 0.000 x1
Bi 0.500 0.500 0.500 x1
Rh 0.000 0.000 0.500 x3

## Properties
ρ	10.9	g/cm³
calculated total energy	-30.53	eV per cell
energy relative to the elements	0.866	eV/atom

***

Na2CoC | GGA-PBEsol | relaxed

Cell: 6.152 6.152 6.152 Å, 90.00 90.00 90.00°
Space group Fm-3m (No. 225)
One atom of each set of equivalent atoms:
Na 0.250 0.250 0.250 x8
Co 0.000 0.000 0.000 x4
C 0.000 0.000 0.500 x4

## Properties
ρ	3.3	g/cm³
calculated total energy	-51.63	eV per cell
energy relative to the elements	1.818	eV/atom

***

- Which formula does entry 3 have?
  NiBiRh3

***

- Which of these has the highest energy relative to the elements?
  Na2CoC

***

Please write out number 4 again, unchanged.
Na2CoC | GGA-PBEsol | relaxed

Cell: 6.152 6.152 6.152 Å, 90.00 90.00 90.00°
Space group Fm-3m (No. 225)
One atom of each set of equivalent atoms:
Na 0.250 0.250 0.250 x8
Co 0.000 0.000 0.000 x4
C 0.000 0.000 0.500 x4

## Properties
ρ	3.3	g/cm³
calculated total energy	-51.63	eV per cell
energy relative to the elements	1.818	eV/atom